# ZnFeO2

A geometry-optimized ZnFeO2 structure (PBE+U, Alexandria via LeMat-Bulk).

a = 7.911 Å, b = 7.911 Å, c = 9.857 Å
α = 51.97°, β = 51.97°, γ = 22.00°
Last column: magnetic moment on the atom in μB.
Sites, in units of the cell vectors:
O 0.854 0.854 0.102  0.23
O 0.518 0.518 0.753  0.15
O 0.146 0.146 0.898  0.23
O 0.204 0.204 0.429  0.08
O 0.482 0.482 0.247  0.15
O 0.796 0.796 0.571  0.08
O 0.825 0.825 0.850  0.18
O 0.175 0.175 0.150  0.18
Zn 0.680 0.680 0.312  0.02
Zn 0.994 0.994 0.383  0.02
Zn 0.006 0.006 0.617  0.02
Zn 0.320 0.320 0.688  0.02
Fe 0.149 0.149 0.685  3.77
Fe 0.851 0.851 0.315  3.77
Fe 0.641 0.641 0.032  4.33
Fe 0.359 0.359 0.968  4.33

Properties
The energy above the most stable polymorph in this dataset comes out at 190 meV/atom. The calculation puts the total magnetic moment at 4.50 μB/f.u. Its total energy is -86.266 eV for the cell shown.